An optimized crystal structure of DyAl2Tc2C, computed with GGA-PBE.

extended XYZ file:
```
6
Lattice="4.1776 0.0000 0.0000 0.0000 4.1776 0.0000 0.0000 0.0000 5.4982" Properties=species:S:1:pos:R:3 pbc="T T T"
Tc 2.0888 0.0000 0.0000
Al 2.0888 2.0888 4.0156
Dy 0.0000 0.0000 2.7491
C 0.0000 0.0000 0.0000
Al 2.0888 2.0888 1.4826
Tc 0.0000 2.0888 0.0000
```

## Properties
**Energy relative to the elements**: -8.3 kcal/mol of atoms


An optimized crystal structure of SrTlB3, computed with GGA-PBE.

extended XYZ file:
```
5
Lattice="-3.8918 1.7679 -1.9116 0.5714 -2.7741 -3.7287 -2.5403 -3.3324 2.0899" Properties=species:S:1:pos:R:3 pbc="T T T"
B 0.2857 -1.3870 -1.8644
B -1.2701 -1.6662 1.0450
B -1.9459 0.8839 -0.9558
Tl 0.0000 0.0000 0.0000
Sr -2.9303 -2.1693 -1.7752
```

## Properties
**Energy relative to the elements**: 42.3 kcal/mol of atoms
**Energy above the lowest structure with this stoichiometry**: 0.000 eV/f.u.


An optimized crystal structure of Sr2SnGe, computed with GGA-PBE.

extended XYZ file:
```
4
Lattice="-3.4721 0.6912 0.6884 -0.6602 -3.5385 0.2234 1.8430 0.2285 9.0657" Properties=species:S:1:pos:R:3 pbc="T T T"
Ge -2.0661 -1.4237 0.4559
Sr 1.4153 0.1755 6.9621
Sr 0.4276 0.0530 2.1036
Sn -1.1446 -1.3094 4.9888
```

## Properties
**Energy relative to the elements**: -11.5 kcal/mol of atoms


An optimized crystal structure of Hf4ZrAl, computed with GGA-PBE.

extended XYZ file:
```
12
Lattice="-5.2805 4.9340 -1.8673 -2.9013 -4.6779 -1.5310 1.7383 -0.5132 7.3344" Properties=species:S:1:pos:R:3 pbc="T T T"
Hf -3.0350 -3.8024 2.5705
Hf -4.2378 1.5326 -0.9262
Hf 0.6636 -1.3620 6.0895
Hf -1.0351 -1.3735 2.0203
Hf -7.1071 1.1048 -2.1534
Hf -3.4085 3.5452 1.3656
Hf -5.4084 1.1163 1.9159
Al -3.4367 -1.2145 0.3627
Zr -1.9138 1.1363 0.9552
Hf -2.2057 -1.7898 4.8624
Zr -4.5297 -1.3935 2.9810
Al -3.0069 0.9573 3.5734
```

## Properties
**Energy relative to the elements**: -1.2 kcal/mol of atoms
**Energy above the lowest structure with this stoichiometry**: 0.218 eV/f.u.


An optimized crystal structure of Er2Ga2Au, computed with GGA-PBE.

extended XYZ file:
```
10
Lattice="4.4017 0.0000 0.0000 2.2009 5.2965 -0.0800 2.2009 0.6545 9.2919" Properties=species:S:1:pos:R:3 pbc="T T T"
Er 6.6026 4.5018 8.2331
Ga 2.2009 1.7978 4.0884
Er 4.4017 2.0508 6.2233
Au 4.4017 0.8204 3.1207
Er 2.2009 1.4492 0.9788
Er 4.4017 3.9002 2.9886
Au 4.4017 5.1306 6.0912
Ga 6.6026 1.4849 8.2743
Ga 2.2009 4.4661 0.9376
Ga 6.6026 4.1532 5.1235
```

## Properties
**Energy relative to the elements**: -16.8 kcal/mol of atoms


An optimized crystal structure of K2Dy2RhO6, computed with GGA-PBE.

extended XYZ file:
```
11
Lattice="-3.7612 3.9393 -1.8446 -0.5540 -2.1880 5.2889 4.9943 4.0942 1.2712" Properties=species:S:1:pos:R:3 pbc="T T T"
O 1.9782 4.0731 0.4454
Rh 2.4972 2.0471 0.6356
O 2.9812 2.1570 2.6762
O 0.5355 1.7653 1.2755
Dy 0.8676 1.9141 3.5321
O -2.3020 3.6885 2.0394
K -1.0669 -1.2081 4.1481
O 0.1437 4.0802 3.4400
Dy -0.1884 3.9314 1.1835
K -3.2483 2.9594 -0.7038
O -1.2990 1.7723 4.2702
```

## Properties
**Formation energy from raw total energies**: -2174 meV/atom


An optimized crystal structure of NaRuRh, computed with GGA-PBE.

extended XYZ file:
```
6
Lattice="-4.6059 1.8785 1.1119 1.2422 -1.0042 -4.8403 -3.2148 -8.4292 0.9237" Properties=species:S:1:pos:R:3 pbc="T T T"
Ru -2.4111 -6.3219 0.6928
Ru -0.8037 -2.1073 0.2309
Rh -1.6074 -4.2146 0.4619
Na -5.0676 -5.4043 -0.1794
Na -1.5109 -2.1506 -2.6253
Rh 0.0000 0.0000 0.0000
```

## Properties
**Energy relative to the elements**: 42.0 kcal/mol of atoms
**Energy above the lowest structure with this stoichiometry**: 4.586 eV/f.u.


An optimized crystal structure of Rb6Fe3Br14, computed with GGA-PBE.

extended XYZ file:
```
23
Lattice="6.7396 0.0000 0.0000 0.0000 10.7070 -6.1817 0.0000 0.0000 12.3634" Properties=species:S:1:pos:R:3 pbc="T T T"
Br 1.8672 9.2847 -0.3925
Rb 5.1527 4.6515 9.3794
Br 3.0718 2.1427 7.9226
Br 4.7983 7.8819 -2.0433
Br 3.1791 0.0000 0.0000
Br 3.0718 5.7898 6.5465
Rb 1.7187 3.2780 0.6888
Br 3.0718 2.7745 4.0761
Fe 5.5636 0.0000 0.0000
Rb 5.1527 5.7971 3.6454
Fe 3.3218 7.1380 0.0000
Br 4.7983 8.5356 1.6658
Br 1.8672 5.7248 -1.6628
Br 1.8672 6.4046 2.0553
Br 6.3850 8.4916 5.7760
Br 4.7983 4.9966 0.3774
Br 6.6157 3.5690 6.1817
Rb 1.7187 8.4715 -3.6873
Rb 1.7187 9.6645 2.9985
Fe 2.2646 3.5690 6.1817
Rb 5.1527 0.2584 5.5203
Br 6.3850 1.4590 10.6476
Br 6.3850 0.7564 2.1215
```

## Properties
**Formation energy from raw total energies**: -1169 meV/atom


An optimized crystal structure of Tb9Tm4Zn11, computed with GGA-PBE.

extended XYZ file:
```
24
Lattice="3.4437 0.0000 0.0000 0.0000 12.2443 -4.5770 0.0000 0.6030 13.0578" Properties=species:S:1:pos:R:3 pbc="T T T"
Zn 0.0000 4.9149 6.5259
Zn 3.4437 7.7111 9.6739
Zn 3.4437 11.9259 3.2890
Tb 1.7218 0.4275 2.5656
Zn 0.0000 7.9324 1.9549
Tm 1.7218 9.5917 4.1176
Tb 1.7218 10.3201 9.0960
Zn 3.4437 5.1362 -1.1931
Tb 1.7218 2.5271 -0.6152
Zn 3.4437 2.8822 1.9026
Zn 0.0000 0.0000 0.0000
Tb 1.7218 10.6545 1.0204
Zn 0.0000 2.6333 9.9822
Zn 3.4437 9.9650 6.5782
Tb 1.7218 12.4198 5.9152
Tb 1.7218 7.7219 -0.9155
Tm 1.7218 7.5557 7.2018
Zn 0.0000 10.2139 -1.5014
Zn 3.4437 0.9213 5.1918
Tm 1.7218 5.2916 1.2790
Tb 1.7218 5.1253 9.3963
Tb 1.7218 2.1927 7.4604
Tm 1.7218 3.2556 4.3632
Tb 1.7219 6.4236 4.2404
```

## Properties
**Energy relative to the elements**: -5.7 kcal/mol of atoms


An optimized crystal structure of Ag3Os, computed with GGA-PBE.

extended XYZ file:
```
4
Lattice="5.1571 0.0015 0.0000 -1.8737 4.8047 0.0000 0.0000 0.0000 2.6868" Properties=species:S:1:pos:R:3 pbc="T T T"
Os 1.6417 2.4031 0.0000
Ag -0.9369 2.4023 1.3434
Ag 2.5786 0.0008 1.3434
Ag 0.0000 0.0000 0.0000
```

## Properties
**Energy relative to the elements**: 12.8 kcal/mol of atoms
**Energy above the lowest structure with this stoichiometry**: 0.611 eV/f.u.


An optimized crystal structure of KMnCu2, computed with GGA-PBE.

extended XYZ file:
```
4
Lattice="-1.9195 -1.3890 -4.1622 -1.6290 -4.4747 -0.5110 -4.7095 -0.8129 -0.3123" Properties=species:S:1:pos:R:3 pbc="T T T"
K -4.1290 -3.3382 -2.4927
Cu -6.1935 -5.0074 -3.7391
Cu 0.0000 0.0000 0.0000
Mn -2.0645 -1.6691 -1.2464
```

## Properties
**Energy relative to the elements**: 21.0 kcal/mol of atoms
**Energy above the lowest structure with this stoichiometry**: 1.973 eV/f.u.


An optimized crystal structure of BaAs2, computed with GGA-PBE.

extended XYZ file:
```
3
Lattice="-1.7925 2.9456 4.3126 -5.4956 0.2266 -0.4846 3.3737 -4.3693 -0.1222" Properties=species:S:1:pos:R:3 pbc="T T T"
As -4.5945 1.9998 2.4131
Ba 0.0000 0.0000 0.0000
As -2.6936 1.1724 1.4148
```

## Properties
**Energy relative to the elements**: -14.7 kcal/mol of atoms


Number 1: volume 15.993 A^3/atom, energy -7.37 eV/atom. Number 2: volume 20.533 A^3/atom, energy -2.98 eV/atom. Number 3: volume 30.092 A^3/atom, energy -3.50 eV/atom. Number 4: volume 21.602 A^3/atom, energy -8.73 eV/atom. Number 5: volume 21.686 A^3/atom, energy -4.42 eV/atom. Number 6: volume 16.615 A^3/atom, energy -6.58 eV/atom. Number 7: volume 34.006 A^3/atom, energy -4.16 eV/atom. Number 8: volume 38.789 A^3/atom, energy -3.54 eV/atom. Number 9: volume 23.337 A^3/atom, energy -3.31 eV/atom. Number 10: volume 16.646 A^3/atom, energy -4.39 eV/atom. Number 11: volume 19.420 A^3/atom, energy -3.71 eV/atom. Number 12: volume 32.436 A^3/atom, energy -4.38 eV/atom.